Zr3HgC: relaxed, PBE.

Unit cell a=11.8696 b=3.3949 c=9.9305 alpha=90.00 beta=105.00 gamma=90.00
Closest atoms and distances in Å follow each position.
Space group C2/m (No. 12)
Unique sites:
Zr: 0.1090 0.0000 0.1657 [4 per cell]  2 C 2.29
Zr: 0.1490 0.5000 0.9053 [4 per cell]  3 C 2.31-2.33
Zr: 0.1850 0.0000 0.6242 [4 per cell]  1 C 2.26
Hg: 0.0405 0.5000 0.3757 [4 per cell]  1 Hg 2.87, 7 Zr 2.96-3.17
C: 0.2329 0.5000 0.1431 [4 per cell]  6 Zr 2.26-2.33

Summary:
theoretical density = 8.356 g cm⁻³
DFT total energy = -149.568 eV for the cell shown
formation enthalpy at 0 K = -0.4444 eV per atom
crystal system = monoclinic
distance to the lowest polymorph of the same formula = 60 meV/atom
total moment = 0.00 μB per atom